Record 1
A plane-wave DFT calculation with PBE was carried out for PmGe2O6 after structural relaxation.

Values from the calculation:
- raw formation energy (eV/f.u.) = -17.468

```
data_PmGe2O6
_cell_length_a 11.185
_cell_length_b 9.910
_cell_length_c 5.770
_cell_angle_alpha 90.00
_cell_angle_beta 105.10
_cell_angle_gamma 90.00
_space_group_name_H-M_alt 'C 1 2/c 1'
_space_group_IT_number 15
_space_group_name_Hall '-C 2yc'
loop_
_atom_site_label
_atom_site_type_symbol
_atom_site_fract_x
_atom_site_fract_y
_atom_site_fract_z
Pm1 Pm 0.000 0.122 0.250
Ge1 Ge 0.222 0.432 0.300
O1 O 0.117 0.044 0.621
O2 O 0.151 0.478 0.997
O3 O 0.180 0.259 0.311
```

---

Record 2
A plane-wave DFT calculation with PBE was carried out for Pm2GeO5 after structural relaxation.

Values from the calculation:
- offset from the most stable computed form (eV per atom) = 0.000
- DOS at the Fermi energy (states/eV/atom) = 0.000
- raw formation energy (eV/f.u.) = -22.869

```
data_Pm2GeO5
_cell_length_a 15.256
_cell_length_b 7.104
_cell_length_c 10.872
_cell_angle_alpha 90.00
_cell_angle_beta 121.65
_cell_angle_gamma 90.00
_space_group_name_H-M_alt 'C 1 2/c 1'
_space_group_IT_number 15
_space_group_name_Hall '-C 2yc'
loop_
_atom_site_label
_atom_site_type_symbol
_atom_site_fract_x
_atom_site_fract_y
_atom_site_fract_z
Pm1 Pm 0.035 0.245 0.465
Pm2 Pm 0.141 0.122 0.838
Ge1 Ge 0.184 0.409 0.307
O1 O 0.015 0.092 0.895
O2 O 0.087 0.495 0.135
O3 O 0.117 0.210 0.322
O4 O 0.198 0.152 0.674
O5 O 0.203 0.425 0.940
```

---

| no. | raw total energy (eV for the cell shown) |
| --- | --- |
| 1 | -244.8 |
| 2 | -494.2 |